(1)
This record from the Alexandria database describes Al2ReHg after structural relaxation. The functional is PBE.

Results
- Volume: 16.78 Å³ per atom
- Energy of formation from the pure elements: 58 kJ/mol of atoms

a b c (Å): 6.4508 6.4508 6.4508
angles (deg): 90.00 90.00 90.00
Positions (direct):
Al 0.0000 0.0000 0.0000
Al 0.0000 0.5000 0.5000
Al 0.2500 0.2500 0.2500
Al 0.2500 0.7500 0.7500
Al 0.5000 0.0000 0.5000
Al 0.5000 0.5000 0.0000
Al 0.7500 0.2500 0.7500
Al 0.7500 0.7500 0.2500
Re 0.2500 0.2500 0.7500
Re 0.2500 0.7500 0.2500
Re 0.7500 0.2500 0.2500
Re 0.7500 0.7500 0.7500
Hg 0.0000 0.0000 0.5000
Hg 0.0000 0.5000 0.0000
Hg 0.5000 0.0000 0.0000
Hg 0.5000 0.5000 0.5000


(2)
This record from the Alexandria database describes AlRe4Hg after structural relaxation. The functional is PBE.

Results
- Volume: 16.99 Å³ per atom
- Energy of formation from the pure elements: 59 kJ/mol of atoms

a b c (Å): 5.2430 5.2430 5.2430
angles (deg): 60.00 60.00 60.00
Positions (direct):
Al 0.0000 0.0000 0.0000
Re 0.1253 0.6249 0.6249
Re 0.6249 0.1253 0.6249
Re 0.6249 0.6249 0.1253
Re 0.6249 0.6249 0.6249
Hg 0.2500 0.2500 0.2500


(3)
This record from the Alexandria database describes AlRe3Hg after structural relaxation. The functional is PBE.

Results
- Volume: 18.19 Å³ per atom
- Energy of formation from the pure elements: 179 kJ/mol of atoms

a b c (Å): 4.4972 4.4972 4.4972
angles (deg): 90.00 90.00 90.00
Positions (direct):
Al 0.0000 0.0000 0.0000
Re 0.0000 0.0000 0.5000
Re 0.0000 0.5000 0.0000
Re 0.5000 0.0000 0.0000
Hg 0.5000 0.5000 0.5000